# Np2SbSe5

A geometry-optimized Np2SbSe5 structure (GGA-PBE, Alexandria).

The space group is Pbam (No. 55) and the conventional cell measures 8.046, 12.236 and 4.037 Å, with angles of 90.00, 90.00 and 90.00 degrees. Symmetry generates all atoms from Np at (0.028, 0.174, 0.000), Sb at (0.000, 0.500, 0.500), Se at (0.000, 0.000, 0.500), Se at (0.174, 0.392, 0.000) and Se at (0.180, 0.700, 0.500).

Its calculated density is 8.3 g/cm3. Its offset from the most stable computed form is 0 meV per atom.


# BaLa2Ag

A geometry-optimized BaLa2Ag structure (GGA-PBE, Alexandria).

The space group is R3m (No. 160, hexagonal axes) and the conventional cell measures 4.0022, 4.0022 and 33.5202 Å, with angles of 90.00, 90.00 and 120.00 degrees. Symmetry generates all atoms from Ba at (0.0000, 0.0000, 0.0000), La at (0.0000, 0.0000, 0.2306), La at (0.0000, 0.0000, 0.4340) and Ag at (0.0000, 0.0000, 0.8324).

As for the formation energy: 0.35 eV/f.u. Its calculated density is 5.6 g/cm3. Its offset from the most stable computed form is 155 meV per atom.


# Pr8SiAs3I4

A geometry-optimized Pr8SiAs3I4 structure (GGA-PBE, Alexandria).

The space group is R-3m (No. 166, hexagonal axes) and the conventional cell measures 8.7287, 8.7287 and 23.2005 Å, with angles of 90.00, 90.00 and 120.00 degrees. Symmetry generates all atoms from Pr at (0.0000, 0.0000, 0.2314), Pr at (0.0061, 0.5030, 0.2318), Si at (0.0000, 0.0000, 0.5000), As at (0.0000, 0.5000, 0.5000), I at (0.0000, 0.0000, 0.0000) and I at (0.0000, 0.5000, 0.0000).

Its calculated density is 6.1 g/cm3. The value obtained for the uncorrected energy is -5.22 eV per atom.


# ZnSi2Cl

A geometry-optimized ZnSi2Cl structure (GGA-PBE, Alexandria).

The space group is P4mm (No. 99) and the conventional cell measures 3.553, 3.553 and 6.187 Å, with angles of 90.00, 90.00 and 90.00 degrees. Symmetry generates all atoms from Zn at (0.000, 0.000, 0.000), Si at (0.000, 0.000, 0.613), Si at (0.500, 0.500, 0.589) and Cl at (0.500, 0.500, 0.184).

Its calculated density is 3.3 g/cm3. Its offset from the most stable computed form is 94 meV per atom.


The volume results, record by record, are as follows: 24.84, 38.75, 31.89, 19.52 Å³ per atom.
The Fermi-level density of states results, record by record, are as follows: 33.9, 19.6, 20.4, 1.1 states/eV per cell.